Entry from Alexandria via LeMat-Bulk: a geometry-optimized K3NaCr2F9 structure (PBE+U).

- uncorrected energy (eV per atom) = -5.20
- mass density (Mg/m³) = 3.1

Cell and atoms, written as extended XYZ:
```
15
Lattice="-5.3949 1.4174 2.0358 3.1606 -4.2543 2.6779 2.9812 4.9973 4.4206" Properties=species:S:1:pos:R:3 pbc="T T T"
K 2.2367 0.8681 5.3227
K 0.0000 0.0000 0.0000
K -1.4899 1.2924 3.8116
Na 1.4906 2.4987 2.2103
Cr 0.7850 -1.5654 3.1700
Cr -0.0381 3.7259 5.9643
F -1.8555 3.8462 5.1752
F -0.3552 1.8267 6.4464
F 0.7054 3.1733 4.2088
F 0.0414 -1.0128 4.9255
F 1.1020 0.3338 2.6879
F 2.6023 -1.6857 3.9591
F -2.6975 0.7087 1.0179
F 1.5803 -2.1271 1.3389
F -1.1172 -1.4184 2.3569
```